Record 1
Below is Th2MnCo3As4 after structural relaxation, with properties calculated at the GGA-PBE level.

Calculated values
Its space-group type is P-4m2, No. 115.

POSCAR file:
```
Th2MnCo3As4
1.0
-0.5819 4.1340 -0.1632
-3.5255 -0.4092 2.2043
4.8849 1.0034 7.9991
As Th Co Mn
4 2 3 1
direct
0.0000 0.5000 0.3688
0.0000 0.0000 0.0000
0.5000 0.0000 0.6312
0.5000 0.5000 0.0000
0.5000 0.0000 0.2518
0.0000 0.5000 0.7482
0.5000 0.0000 0.8852
0.0000 0.0000 0.5000
0.0000 0.5000 0.1148
0.5000 0.5000 0.5000
```


Record 2
Below is YMn2CoAs after structural relaxation, with properties calculated at the GGA-PBE level.

Calculated values
Its space-group type is P4/mmm, No. 123.

POSCAR file:
```
YMn2CoAs
1.0
4.9935 0.0000 0.0000
0.0000 4.5538 0.0000
0.0000 0.0000 4.9935
Y Co Mn As
1 1 2 1
direct
0.0000 0.0000 0.0000
0.0000 0.5000 0.0000
0.5000 0.0000 0.0000
0.0000 0.0000 0.5000
0.5000 0.5000 0.5000
```


no.,total magnetization (μB per cell),raw total energy (eV/atom),calculated formation energy (meV per atom)
1,0.000,-7.131,-739
2,8.015,-5.671,1641